Entry 1:
Fe2SeCl: optimized geometry, PBEsol.

The calculation puts the uncorrected formation energy at 126 kJ/mol of formula units. The density of states at the Fermi level comes out at 8.13 states/eV/cell. As for the calculated total energy: -44.97 eV/cell.

The structure belongs to space group Immm (No. 71); the cell edges are 2.985, 5.983 and 7.450 Å and the angles 90.00°, 90.00° and 90.00°. The distinct sites, in fractional coordinates, are Fe at (0.000, 0.000, 0.247), Se at (0.000, 0.500, 0.000) and Cl at (0.000, 0.500, 0.500).


Entry 2:
Fe2SeCl: optimized geometry, PBEsol.

The calculation puts the uncorrected formation energy at 117 kJ/mol of formula units. The density of states at the Fermi level comes out at 5.41 states/eV/cell. As for the calculated total energy: -22.57 eV/cell.

The structure belongs to space group P4/mmm (No. 123); the cell edges are 4.409, 4.409 and 2.988 Å and the angles 90.00°, 90.00° and 90.00°. The distinct sites, in fractional coordinates, are Fe at (0.000, 0.500, 0.000), Se at (0.000, 0.000, 0.500) and Cl at (0.500, 0.500, 0.500).


Entry 3:
FeSe2Cl: optimized geometry, PBEsol.

The calculation puts the uncorrected formation energy at -36 kJ/mol of formula units. The density of states at the Fermi level comes out at 5.95 states/eV/cell. As for the calculated total energy: -38.10 eV/cell.

The structure belongs to space group Imm2 (No. 44); the cell edges are 3.115, 4.837 and 11.778 Å and the angles 90.00°, 90.00° and 90.00°. The distinct sites, in fractional coordinates, are Fe at (0.000, 0.000, 0.000), Se at (0.000, 0.000, 0.564), Se at (0.000, 0.500, 0.647) and Cl at (0.000, 0.500, 0.359).